A geometry-optimized PuNi2Rh structure. Source: Alexandria via LeMat-Bulk, functional PBE.

The structure in extended XYZ format:
```
4
Lattice="-2.439 -1.064 -3.526 0.110 -4.116 -1.601 -3.509 -2.643 0.458" Properties=species:S:1:pos:R:3 pbc="T T T"
Ni -1.461 -1.956 -1.166
Rh -2.919 -3.911 -2.334
Ni -4.378 -5.867 -3.502
Pu 0.000 0.000 0.000
```

## Properties
- total magnetization (μB/f.u.) = 4.3
- density of states at the Fermi level (states/eV/f.u.) = 10.71
- total energy (eV/atom) = -8.3995
- space group = Fm-3m, No. 225
- crystal system = cubic
- energy of formation from the pure elements (eV per atom) = -0.09

***

A geometry-optimized CsPb3 structure. Source: Alexandria via LeMat-Bulk, functional PBE.

The structure in extended XYZ format:
```
12
Lattice="1.270 4.289 -5.521 -3.098 -6.310 -1.042 -9.457 3.770 5.321" Properties=species:S:1:pos:R:3 pbc="T T T"
Pb -8.006 1.606 1.735
Cs 0.000 0.000 0.000
Pb -3.279 0.143 -2.978
Pb -1.757 3.234 -2.473
Pb -0.275 0.797 -4.016
Pb -9.528 -1.484 1.230
Pb -3.921 -2.043 -0.159
Pb -6.278 -1.270 2.139
Cs -4.135 1.943 0.554
Cs -7.150 -0.193 -1.797
Pb -11.010 0.953 2.773
Pb -7.365 3.792 -1.084
```

## Properties
- total magnetization (μB/f.u.) = 0.0
- density of states at the Fermi level (states/eV/f.u.) = 2.35
- total energy (eV/atom) = -3.1085
- space group = C2/m, No. 12
- crystal system = monoclinic
- energy of formation from the pure elements (eV per atom) = -0.11

***

A geometry-optimized Ti5ZnMo4 structure. Source: Alexandria via LeMat-Bulk, functional PBE.

The structure in extended XYZ format:
```
10
Lattice="3.203 0.000 0.000 0.000 3.203 0.000 0.000 0.000 15.503" Properties=species:S:1:pos:R:3 pbc="T T T"
Ti 1.602 1.602 4.622
Ti 1.602 1.602 1.633
Zn 0.000 0.000 0.000
Mo 0.000 0.000 9.293
Mo 0.000 0.000 6.211
Mo 0.000 0.000 12.453
Mo 0.000 0.000 3.050
Ti 1.602 1.602 13.871
Ti 1.602 1.602 10.881
Ti 1.602 1.602 7.752
```

## Properties
- total magnetization (μB/f.u.) = 0.0
- density of states at the Fermi level (states/eV/f.u.) = 15.71
- total energy (eV/atom) = -8.5146
- space group = P4/mmm, No. 123
- crystal system = tetragonal
- energy of formation from the pure elements (eV per atom) = -0.11

***

A geometry-optimized Pr2PuCo3H12 structure. Source: Alexandria via LeMat-Bulk, functional PBE.

The structure in extended XYZ format:
```
18
Lattice="6.117 0.020 0.014 3.038 5.309 0.014 3.038 1.769 5.006" Properties=species:S:1:pos:R:3 pbc="T T T"
H 7.975 6.149 4.361
H 6.999 1.944 1.379
H 2.908 1.693 2.798
H 7.046 4.101 0.652
H 9.285 3.898 4.361
H 5.194 5.153 3.655
H 5.147 2.996 4.382
H 7.046 1.972 3.655
Co 1.519 2.654 0.007
Pr 4.730 2.753 1.953
H 2.908 3.200 0.673
H 5.147 5.126 1.379
Co 3.058 0.010 0.007
H 9.285 5.405 2.237
H 4.219 0.948 0.673
Pr 7.464 4.344 3.081
Co 1.519 0.884 2.503
Pu 0.000 0.000 0.000
```

## Properties
- total magnetization (μB/f.u.) = 9.2
- density of states at the Fermi level (states/eV/f.u.) = 11.97
- total energy (eV/atom) = -4.9956
- space group = R-3m, No. 166
- crystal system = trigonal

***

A geometry-optimized HoTiZnNi structure. Source: Alexandria via LeMat-Bulk, functional PBE.

The structure in extended XYZ format:
```
4
Lattice="-2.119 3.792 -1.637 -4.589 0.492 0.499 -1.688 3.168 2.943" Properties=species:S:1:pos:R:3 pbc="T T T"
Ti -2.099 1.863 0.451
Zn 0.000 0.000 0.000
Ni -4.198 3.726 0.902
Ho -6.297 5.589 1.354
```

## Properties
- total magnetization (μB/f.u.) = 1.2
- density of states at the Fermi level (states/eV/f.u.) = 5.47
- total energy (eV/atom) = -5.0433
- space group = F-43m, No. 216
- crystal system = cubic
- energy of formation from the pure elements (eV per atom) = -0.16

***

A geometry-optimized SrLi2MnCl6 structure. Source: Alexandria via LeMat-Bulk, functional PBE.

The structure in extended XYZ format:
```
10
Lattice="6.668 0.003 -0.001 3.337 5.779 -0.004 3.333 1.924 6.091" Properties=species:S:1:pos:R:3 pbc="T T T"
Mn 3.334 1.926 0.233
Li 3.338 1.925 5.833
Cl 8.914 3.870 1.468
Li 6.669 3.855 2.656
Cl 7.865 2.293 4.655
Cl 7.421 5.668 4.649
Cl 5.561 1.900 1.470
Cl 4.720 3.595 4.653
Cl 5.531 5.788 1.466
Sr 10.004 5.781 3.436
```

## Properties
- uncorrected formation energy (eV/atom) = -1.76
- total magnetization (μB/f.u.) = 5.0
- density of states at the Fermi level (states/eV/f.u.) = 0.00
- total energy (eV/atom) = -4.3319
- space group = R3, No. 146
- crystal system = trigonal

***

A geometry-optimized Cu2AuF8 structure. Source: Alexandria via LeMat-Bulk, functional PBE.

The structure in extended XYZ format:
```
11
Lattice="5.238 0.000 0.000 -2.619 4.289 -1.461 0.000 -0.986 8.524" Properties=species:S:1:pos:R:3 pbc="T T T"
Au 0.000 0.000 0.000
F 2.619 1.021 3.889
F 0.000 2.282 3.174
F 0.000 0.345 5.127
F 1.256 0.276 1.475
F 3.982 0.276 1.475
F -1.363 3.027 5.588
F 2.619 2.957 1.936
F 1.363 3.027 5.588
Cu 0.000 0.506 3.201
Cu 2.619 2.796 3.861
```

## Properties
- uncorrected formation energy (eV/atom) = -1.20
- total magnetization (μB/f.u.) = 0.9
- density of states at the Fermi level (states/eV/f.u.) = 2.92
- total energy (eV/atom) = -3.6028
- space group = C2/m, No. 12
- crystal system = monoclinic

***

A geometry-optimized Tb6PrY2Er structure. Source: Alexandria via LeMat-Bulk, functional PBE.

The structure in extended XYZ format:
```
20
Lattice="-2.679 0.711 -9.198 -7.965 -2.596 2.748 1.953 8.566 0.722" Properties=species:S:1:pos:R:3 pbc="T T T"
Y -6.264 4.276 -1.462
Y -2.086 0.926 0.537
Er -0.323 8.800 -6.122
Tb -0.907 5.326 -5.808
Tb -1.427 7.230 -2.767
Tb -3.688 7.829 -5.630
Tb -4.493 1.458 -1.887
Tb -5.002 -1.147 -0.099
Tb -9.070 0.492 -6.078
Pr -5.945 2.472 -4.974
Tb -3.696 4.219 -6.923
Y -6.604 5.756 -6.265
Tb -7.784 1.357 0.079
Y -2.426 2.407 -4.267
Tb -4.995 2.463 1.194
Tb 0.380 6.191 0.350
Tb -7.263 -0.548 -2.962
Tb -4.198 5.224 -3.841
Er -8.367 -2.117 0.393
Pr -2.745 4.210 -0.755
```

## Properties
- total magnetization (μB/f.u.) = 0.0
- density of states at the Fermi level (states/eV/f.u.) = 15.17
- total energy (eV/atom) = -4.8785
- space group = C2/c, No. 15
- crystal system = monoclinic
- energy of formation from the pure elements (eV per atom) = 0.13

***

A geometry-optimized Lu3ZnN structure. Source: Alexandria via LeMat-Bulk, functional PBE.

The structure in extended XYZ format:
```
5
Lattice="4.635 0.000 0.000 0.000 4.635 0.000 0.000 0.000 4.635" Properties=species:S:1:pos:R:3 pbc="T T T"
Lu 0.000 2.318 0.000
Zn 2.318 2.318 2.318
Lu 0.000 0.000 2.318
Lu 2.318 0.000 0.000
N 0.000 0.000 0.000
```

## Properties
- uncorrected formation energy (eV/atom) = -0.86
- total magnetization (μB/f.u.) = 0.0
- density of states at the Fermi level (states/eV/f.u.) = 5.34
- total energy (eV/atom) = -5.4890
- space group = Pm-3m, No. 221
- crystal system = cubic

***

A geometry-optimized Al2BiP structure. Source: Alexandria via LeMat-Bulk, functional PBE.

The structure in extended XYZ format:
```
4
Lattice="0.000 3.447 3.447 3.447 0.000 3.447 3.447 3.447 0.000" Properties=species:S:1:pos:R:3 pbc="T T T"
Al 5.170 5.170 5.170
Al 1.723 1.723 1.723
P 0.000 0.000 0.000
Bi 3.447 3.447 3.447
```

## Properties
- total magnetization (μB/f.u.) = 0.0
- density of states at the Fermi level (states/eV/f.u.) = 2.11
- total energy (eV/atom) = -3.8060
- space group = Fm-3m, No. 225
- crystal system = cubic
- energy of formation from the pure elements (eV per atom) = 0.39

***

A geometry-optimized Nd2Co12As7 structure. Source: Alexandria via LeMat-Bulk, functional PBE.

The structure in extended XYZ format:
```
21
Lattice="-1.834 0.843 -3.205 -7.208 -5.404 2.704 0.164 9.119 2.303" Properties=species:S:1:pos:R:3 pbc="T T T"
Nd -0.917 0.421 -1.603
Co -3.210 2.228 2.422
Co -5.405 2.458 3.739
As -2.293 4.278 2.437
Co -4.791 4.415 1.664
As -0.169 6.872 1.903
As -5.348 2.131 1.382
Co -6.862 -3.043 3.127
Nd -4.751 -0.563 2.571
Co -2.372 3.334 -0.005
As -5.154 4.761 4.201
Co -7.338 1.149 2.263
Co -2.468 6.347 0.842
Co -1.985 -1.105 0.845
Co -0.330 4.637 1.407
As -4.082 -1.339 -0.254
Co -6.028 -2.555 0.540
Co -3.340 5.969 3.480
As -1.557 1.200 1.206
Co -3.637 0.979 0.100
As -7.573 -1.218 1.775
```

## Properties
- total magnetization (μB/f.u.) = 6.5
- density of states at the Fermi level (states/eV/f.u.) = 13.16
- total energy (eV/atom) = -6.5050
- space group = P-6, No. 174
- crystal system = hexagonal
- energy of formation from the pure elements (eV per atom) = -0.44

***

A geometry-optimized AlTlCd structure. Source: Alexandria via LeMat-Bulk, functional PBE.

The structure in extended XYZ format:
```
6
Lattice="-2.277 -5.096 -0.599 2.514 -2.644 -2.459 2.306 -0.161 6.477" Properties=species:S:1:pos:R:3 pbc="T T T"
Al 1.284 -3.069 0.350
Cd 1.061 -6.519 3.991
Tl -0.710 -5.253 0.800
Cd 1.166 -4.543 -2.101
Tl 0.424 -3.164 3.548
Al 3.221 -2.896 2.139
```

## Properties
- total magnetization (μB/f.u.) = 0.0
- density of states at the Fermi level (states/eV/f.u.) = 1.27
- total energy (eV/atom) = -2.1824
- space group = P-1, No. 2
- crystal system = triclinic
- energy of formation from the pure elements (eV per atom) = 0.16